The following is a DFT calculation (PBE-GGA) of a geometry-optimized TaCu2Pt2 structure.

Output
Energy relative to the lowest polymorph listed for this composition in eV per atom: 0.000
N(E_F) in states/eV/cell: 1.64
Magnetic moment in Bohr magnetons per cell: 0.0
Calculated volume in Å³/atom: 14.6

Cell lengths 8.6767, 3.8209, 6.1120 Å; angles 90.00, 133.71, 90.00 degrees
Space group C2/m (No. 12)
Unique sites:
Ta  0.0000  0.0000  0.0000 x2
Cu  0.1978  0.0000  0.5902 x4
Pt  0.0934  0.5000  0.7993 x4